Entry 1:
Crystalline HPd3N at its relaxed geometry, computed with GGA-PBEsol.

a = 3.836 Å, b = 3.836 Å, c = 3.836 Å
α = 90.00°, β = 90.00°, γ = 90.00°
Positions (direct):
H 0.000 0.000 0.000
Pd 0.000 0.000 0.500
Pd 0.000 0.500 0.000
Pd 0.500 0.000 0.000
N 0.500 0.500 0.500

## Properties
The volume comes out at 56 Å³ per cell. The calculation puts the energy at -5.022 eV/atom. The mass density is 9.8 Mg/m³.

---

Entry 2:
Crystalline Ta2HPdN at its relaxed geometry, computed with GGA-PBEsol.

a = 4.176 Å, b = 4.176 Å, c = 3.396 Å
α = 90.00°, β = 90.00°, γ = 90.00°
Positions (direct):
Ta 0.000 0.500 0.000
Ta 0.500 0.000 0.000
H 0.000 0.000 0.000
Pd 0.000 0.000 0.500
N 0.500 0.500 0.500

## Properties
The volume comes out at 59 Å³ per cell. The calculation puts the energy at -8.054 eV/atom. The mass density is 13.6 Mg/m³.

---

Entry 3:
Crystalline HPtSN2 at its relaxed geometry, computed with GGA-PBEsol.

a = 3.855 Å, b = 3.855 Å, c = 3.017 Å
α = 90.00°, β = 90.00°, γ = 90.00°
Positions (direct):
H 0.000 0.000 0.000
Pt 0.500 0.500 0.500
S 0.000 0.000 0.500
N 0.000 0.500 0.000
N 0.500 0.000 0.000

## Properties
The volume comes out at 45 Å³ per cell. The calculation puts the energy at -4.487 eV/atom. The mass density is 9.5 Mg/m³.